This record from Alexandria via LeMat-Bulk describes La2TbPr5Y after structural relaxation. The functional is GGA-PBE.

Output
For the density, the calculation gives 6.3 g/cm3. Its crystal system is tetragonal. The value obtained for the formation energy is 210 kJ/mol of formula units. As for the space group: No. 140.

```
18
Lattice="-4.359 4.359 8.476 4.359 -4.359 8.476 4.359 4.359 -8.476" Properties=species:S:1:pos:R:3 pbc="T T T"
La 5.423 1.064 0.000
La 1.064 3.295 0.000
La 3.295 1.064 8.476
La -1.064 3.295 8.476
Tb 0.000 0.000 4.238
Tb 0.000 0.000 12.714
Pr 0.000 0.000 0.000
Pr 2.423 1.936 -2.448
Pr 2.423 -1.936 6.028
Pr 2.423 1.936 2.448
Pr 2.423 -1.936 10.925
Pr 0.000 0.000 8.476
Pr 1.936 6.295 -2.448
Pr 1.936 2.423 6.028
Pr 1.936 6.295 2.448
Pr 1.936 2.423 10.925
Y 4.359 0.000 4.238
Y 0.000 4.359 4.238
```

***

This record from Alexandria via LeMat-Bulk describes GaCu2WCl after structural relaxation. The functional is GGA-PBE.

Output
The value obtained for the uncorrected formation energy is 582 kJ/mol of formula units. For the density, the calculation gives 8.0 g/cm3. Its crystal system is tetragonal. As for the space group: No. 123.

```
5
Lattice="4.374 0.000 0.000 0.000 4.374 0.000 0.000 0.000 4.501" Properties=species:S:1:pos:R:3 pbc="T T T"
Ga 0.000 0.000 0.000
Cu 0.000 2.187 2.251
Cu 2.187 0.000 2.251
W 2.187 2.187 0.000
Cl 2.187 2.187 2.251
```

***

This record from Alexandria via LeMat-Bulk describes K3MnI6 after structural relaxation. The functional is GGA-PBE.

Output
The value obtained for the uncorrected formation energy is -945 kJ/mol of formula units. For the density, the calculation gives 3.6 g/cm3. Its crystal system is monoclinic. As for the space group: No. 14. Its distance to the lowest polymorph of the same formula is 0 meV per atom.

```
20
Lattice="8.140 0.000 0.000 0.000 9.076 0.000 -7.380 0.000 11.677" Properties=species:S:1:pos:R:3 pbc="T T T"
K 0.000 0.000 0.000
K -3.690 4.538 5.838
K -3.854 0.802 8.698
K -0.164 3.736 2.859
K 0.924 5.340 8.817
K 4.613 8.274 2.979
Mn 0.380 0.000 5.838
Mn 4.070 4.538 0.000
I -1.882 1.425 5.366
I -5.572 3.113 11.204
I -1.028 6.503 4.904
I -4.718 7.111 10.742
I 1.249 0.481 3.324
I -2.440 4.057 9.163
I 3.200 5.019 2.514
I -0.490 8.595 8.352
I 5.478 1.965 0.934
I 1.788 2.573 6.773
I 6.332 5.963 0.472
I 2.642 7.651 6.311
```

***

- density of number 1 (La2TbPr5Y)?
  6.3 g/cm3